[1]
{
  "formula": "Rb2BaNpF8",
  "functional": "PBE",
  "state": "relaxed",
  "lattice": [[6.267, 0.000, 0.000], [0.000, 6.267, 0.000], [-3.133, -3.133, 5.923]],
  "species": ["F", "F", "F", "Rb", "F", "F", "F", "Np", "F", "Ba", "F", "Rb"],
  "fractional_positions": [[0.157, 0.644, 0.726], [0.568, 0.081, 0.726], [0.157, 0.081, 0.726], [0.750, 0.250, 0.500], [0.919, 0.432, 0.274], [0.919, 0.843, 0.274], [0.356, 0.843, 0.274], [0.250, 0.750, 0.500], [0.568, 0.644, 0.726], [0.500, 0.500, 0.000], [0.356, 0.432, 0.274], [0.000, 0.000, 0.000]],
  "raw_formation_energy_ev_per_atom": -3.394,
  "dos_ef_per_ev_atom": 0.19
}

---

[2]
{
  "formula": "BaNpS2F",
  "functional": "PBE",
  "state": "relaxed",
  "lattice": [[-1.547, 0.945, 3.650], [-3.511, -1.798, -1.023], [4.849, -12.477, 5.284]],
  "species": ["S", "S", "Np", "S", "F", "Np", "F", "Ba", "Ba", "S"],
  "fractional_positions": [[0.000, 0.500, 0.719], [0.000, 0.500, 0.090], [0.500, 0.000, 0.104], [0.500, 0.000, 0.281], [0.000, 0.000, 0.500], [0.000, 0.500, 0.896], [0.500, 0.500, 0.500], [0.500, 0.000, 0.616], [0.000, 0.500, 0.384], [0.500, 0.000, 0.910]],
  "raw_formation_energy_ev_per_atom": -2.224,
  "dos_ef_per_ev_atom": 1.59
}

---

[3]
{
  "formula": "BaNpSe2F",
  "functional": "PBE",
  "state": "relaxed",
  "lattice": [[-2.674, 2.477, -2.144], [0.692, -2.278, -3.496], [-11.244, -8.994, 3.633]],
  "species": ["Np", "Ba", "Se", "F", "F", "Se", "Se", "Se", "Np", "Ba"],
  "fractional_positions": [[0.500, 0.000, 0.106], [0.000, 0.500, 0.391], [0.500, 0.000, 0.907], [0.000, 0.000, 0.500], [0.500, 0.500, 0.500], [0.500, 0.000, 0.287], [0.000, 0.500, 0.713], [0.000, 0.500, 0.093], [0.000, 0.500, 0.894], [0.500, 0.000, 0.609]],
  "raw_formation_energy_ev_per_atom": -2.112,
  "dos_ef_per_ev_atom": 1.74
}

---

[4]
{
  "formula": "Ba2NpTlF8",
  "functional": "PBE",
  "state": "relaxed",
  "lattice": [[6.129, 0.000, 0.000], [0.000, 6.129, 0.000], [-3.065, -3.065, 6.235]],
  "species": ["F", "F", "Tl", "F", "F", "Np", "Ba", "F", "F", "F", "F", "Ba"],
  "fractional_positions": [[0.603, 0.085, 0.724], [0.121, 0.639, 0.724], [0.500, 0.500, 0.000], [0.915, 0.879, 0.276], [0.121, 0.085, 0.724], [0.250, 0.750, 0.500], [0.750, 0.250, 0.500], [0.915, 0.397, 0.276], [0.603, 0.639, 0.724], [0.361, 0.879, 0.276], [0.361, 0.397, 0.276], [0.000, 0.000, 0.000]],
  "raw_formation_energy_ev_per_atom": -3.377,
  "dos_ef_per_ev_atom": 0.73
}

---

[5]
{
  "formula": "BaO3F",
  "functional": "PBE",
  "state": "relaxed",
  "lattice": [[-0.119, -3.693, -3.948], [5.405, 0.001, -0.164], [0.112, -3.950, 3.691]],
  "species": ["Ba", "O", "O", "F", "O"],
  "fractional_positions": [[0.500, 0.500, 0.500], [0.000, 0.500, 0.500], [0.500, 0.000, 0.500], [0.000, 0.000, 0.000], [0.500, 0.500, 0.000]],
  "raw_formation_energy_ev_per_atom": 0.027,
  "dos_ef_per_ev_atom": 1.31
}

---

[6]
{
  "formula": "BaOF2",
  "functional": "PBE",
  "state": "relaxed",
  "lattice": [[4.389, 0.000, 0.000], [0.000, 4.389, 0.000], [2.195, 2.195, 7.956]],
  "species": ["F", "O", "F", "F", "F", "Ba", "O", "Ba"],
  "fractional_positions": [[0.139, 0.625, 0.250], [0.500, 0.500, 0.000], [0.611, 0.125, 0.250], [0.375, 0.389, 0.750], [0.875, 0.861, 0.750], [0.000, 0.000, 0.000], [0.250, 0.750, 0.500], [0.750, 0.250, 0.500]],
  "raw_formation_energy_ev_per_atom": -1.952,
  "dos_ef_per_ev_atom": 0.72,
  "polymorph_energy_mev_per_atom": 250
}

---

Question: Which formula does entry 2 have?
Answer: BaNpS2F

---

Question: Which formula does entry 1 have?
Answer: Rb2BaNpF8